1.
Entry from OQMD via LeMat-Bulk: ZrO3 after structural relaxation (PBE).

a b c (Å): 6.148 6.148 3.700
angles (deg): 106.50 106.50 121.87
Positions (direct):
Zr  0.164  0.836  0.000
Zr  0.836  0.164  0.000
O  0.075  0.413  0.734
O  0.252  0.252  0.227
O  0.413  0.075  0.734
O  0.587  0.925  0.266
O  0.748  0.748  0.773
O  0.925  0.587  0.266

Computed properties:
M_tot = 0.186 μB/f.u.
space-group type = C2/m (12)



2.
Entry from OQMD via LeMat-Bulk: ReGeNO after structural relaxation (PBE).

a b c (Å): 4.522 4.522 4.313
angles (deg): 90.00 90.00 90.00
Positions (direct):
Re  0.250  0.250  0.007
Re  0.750  0.750  0.993
Ge  0.250  0.750  0.500
Ge  0.750  0.250  0.500
N  0.250  0.250  0.514
N  0.750  0.750  0.486
O  0.250  0.750  0.000
O  0.750  0.250  0.000

Computed properties:
M_tot = 0.005 μB/f.u.
space-group type = P4/nmm (129)



3.
Entry from OQMD via LeMat-Bulk: KGdNO after structural relaxation (PBE).

a b c (Å): 5.225 5.225 4.673
angles (deg): 90.00 90.00 90.00
Positions (direct):
K  0.250  0.250  0.002
K  0.750  0.750  0.998
Gd  0.250  0.750  0.500
Gd  0.750  0.250  0.500
N  0.250  0.250  0.502
N  0.750  0.750  0.498
O  0.250  0.750  0.000
O  0.750  0.250  0.000

Computed properties:
M_tot = 0.050 μB/f.u.
space-group type = P4/nmm (129)



Listing energy relative to the lowest polymorph listed for this composition for the structures above in their given order: 405.6; 861.4; 198.8 meV per atom.
Listing DFT total energy for the structures above in their given order: -30.4; -28.0; -23.2 eV per formula unit.